Eu2Si3Pd after structural relaxation. Source: the Alexandria database, functional PBEsol.

```
Eu2Si3Pd
1.0
4.174 0.000 0.000
0.000 8.235 0.000
0.000 -4.117 7.132
Pd Eu Si
2 4 6
direct
0.500 0.667 0.333 Pd
0.500 0.333 0.667 Pd
0.000 0.500 0.000 Eu
0.000 0.000 0.500 Eu
0.000 0.500 0.500 Eu
0.000 0.000 0.000 Eu
0.500 0.165 0.329 Si
0.500 0.835 0.165 Si
0.500 0.165 0.835 Si
0.500 0.671 0.835 Si
0.500 0.329 0.165 Si
0.500 0.835 0.671 Si
```

Properties
Magnetic moment   27.5 μB per cell
Uncorrected energy   -0.603 Ry/atom
Uncorrected formation energy   -812 meV/atom

***

CaAl2Ir2 after structural relaxation. Source: the Alexandria database, functional PBEsol.

```
CaAl2Ir2
1.0
2.873 0.000 0.000
0.000 7.472 0.000
0.000 0.000 7.472
Ir Al Ca
4 4 2
direct
0.000 0.850 0.650 Ir
0.000 0.150 0.350 Ir
0.000 0.650 0.150 Ir
0.000 0.350 0.850 Ir
0.500 0.858 0.358 Al
0.500 0.142 0.642 Al
0.500 0.642 0.858 Al
0.500 0.358 0.142 Al
0.000 0.500 0.500 Ca
0.000 0.000 0.000 Ca
```

Properties
Magnetic moment   0.0 μB per cell
Uncorrected energy   -0.493 Ry/atom
Formation energy from the elements   -3.6 eV/f.u.

***

Os2RuW after structural relaxation. Source: the Alexandria database, functional PBEsol.

```
Os2RuW
1.0
-1.094 -1.831 1.692
3.064 -3.231 -1.515
1.846 2.295 3.676
Ru W Os
1 1 2
direct
0.500 0.000 0.500 Ru
0.000 0.500 0.500 W
0.500 0.500 0.000 Os
0.000 0.000 0.000 Os
```

Properties
Magnetic moment   0.0 μB per cell
E above lowest polymorph   0.29 eV/f.u.
Uncorrected energy   -0.885 Ry/atom
Formation energy from the elements   0.3 eV/f.u.

***

MgAg3Pd after structural relaxation. Source: the Alexandria database, functional PBEsol.

```
MgAg3Pd
1.0
4.683 0.000 0.000
0.000 4.683 0.000
0.000 0.000 4.683
Ag Pd Mg
3 1 1
direct
0.500 0.000 0.000 Ag
0.000 0.000 0.500 Ag
0.000 0.500 0.000 Ag
0.500 0.500 0.500 Pd
0.000 0.000 0.000 Mg
```

Properties
Magnetic moment   0.0 μB per cell
Uncorrected energy   -0.194 Ry/atom
Formation energy from the elements   4.4 eV/f.u.

***

SrCo2Cu after structural relaxation. Source: the Alexandria database, functional PBEsol.

```
SrCo2Cu
1.0
-2.221 -0.089 3.157
-1.531 -3.345 -1.171
4.922 -0.406 1.089
Cu Sr Co
1 1 2
direct
0.500 0.500 0.000 Cu
0.000 0.000 0.000 Sr
0.750 0.250 0.500 Co
0.250 0.750 0.500 Co
```

Properties
Magnetic moment   2.9 μB per cell
E above lowest polymorph   2.57 eV/f.u.
Uncorrected energy   -0.339 Ry/atom
Formation energy from the elements   3.2 eV/f.u.

***

BaAgO2 after structural relaxation. Source: the Alexandria database, functional PBEsol.

```
BaAgO2
1.0
-1.328 0.116 3.325
-3.479 -0.642 0.563
-0.293 -6.619 2.043
O Ag Ba
2 1 1
direct
0.876 0.876 0.372 O
0.124 0.124 0.628 O
0.500 0.500 0.500 Ag
0.000 0.000 0.000 Ba
```

Properties
Magnetic moment   0.0 μB per cell
Uncorrected energy   -0.317 Ry/atom
Uncorrected formation energy   -324 meV/atom

***

BeTl2Cr after structural relaxation. Source: the Alexandria database, functional PBEsol.

```
BeTl2Cr
1.0
-1.505 0.943 -2.891
-2.362 -2.391 0.449
-3.588 4.150 3.222
Tl Be Cr
2 1 1
direct
0.000 0.000 0.763 Tl
0.000 0.000 0.237 Tl
0.500 0.500 0.000 Be
0.500 0.500 0.500 Cr
```

Properties
Magnetic moment   3.8 μB per cell
Uncorrected energy   -0.304 Ry/atom
Formation energy from the elements   3.0 eV/f.u.

***

MnMo2W after structural relaxation. Source: the Alexandria database, functional PBEsol.

```
MnMo2W
1.0
3.065 0.000 0.000
0.000 4.285 0.000
0.000 0.000 4.339
Mo W Mn
2 1 1
direct
0.000 0.000 0.000 Mo
0.500 0.500 0.000 Mo
0.500 0.000 0.500 W
0.000 0.500 0.500 Mn
```

Properties
Magnetic moment   0.5 μB per cell
E above lowest polymorph   0.15 eV/f.u.
Uncorrected energy   -0.856 Ry/atom
Formation energy from the elements   0.5 eV/f.u.

***

Fe3Re after structural relaxation. Source: the Alexandria database, functional PBEsol.

```
Fe3Re
1.0
-1.572 -1.919 -0.392
1.902 -2.145 2.878
-2.403 2.377 3.359
Fe Re
3 1
direct
0.266 0.000 0.244 Fe
0.734 0.000 0.756 Fe
0.500 0.500 0.000 Fe
0.000 0.500 0.500 Re
```

Properties
Magnetic moment   6.6 μB per cell
Uncorrected energy   -0.733 Ry/atom
Formation energy from the elements   0.4 eV/f.u.

***

ErBiPt after structural relaxation. Source: the Alexandria database, functional PBEsol.

```
ErBiPt
1.0
4.673 0.000 0.000
2.336 4.047 0.000
2.336 1.349 3.815
Er Bi Pt
1 1 1
direct
0.500 0.500 0.500 Er
0.000 0.000 0.000 Bi
0.750 0.750 0.750 Pt
```

Properties
Magnetic moment   0.0 μB per cell
Uncorrected energy   -0.473 Ry/atom
Formation energy from the elements   -3.1 eV/f.u.

***

CaNi2Te after structural relaxation. Source: the Alexandria database, functional PBEsol.

```
CaNi2Te
1.0
4.261 0.000 0.000
-2.130 3.690 -0.011
0.000 -2.442 4.799
Ca Ni Te
1 2 1
direct
0.000 0.000 0.500 Ca
0.805 0.610 0.914 Ni
0.195 0.390 0.086 Ni
0.500 0.000 0.000 Te
```

Properties
Magnetic moment   0.0 μB per cell
Uncorrected energy   -0.357 Ry/atom
Uncorrected formation energy   -364 meV/atom

***

MgReAs2Pt after structural relaxation. Source: the Alexandria database, functional PBEsol.

```
MgReAs2Pt
1.0
-3.949 1.927 -1.244
-2.208 -4.043 0.749
-0.786 1.249 4.428
As Mg Pt Re
2 1 1 1
direct
0.000 0.500 0.000 As
0.000 0.000 0.500 As
0.000 0.000 0.000 Mg
0.500 0.000 0.000 Pt
0.500 0.500 0.500 Re
```

Properties
Magnetic moment   3.1 μB per cell
Uncorrected energy   -0.355 Ry/atom
Formation energy from the elements   8.0 eV/f.u.

***

Ba5BiPb4O15 after structural relaxation. Source: the Alexandria database, functional PBEsol.

```
Ba5BiPb4O15
1.0
-6.009 -0.205 -0.751
0.782 -2.280 -5.637
2.294 -18.645 11.180
O Ba Pb Bi
30 10 8 2
direct
0.956 0.460 0.415 O
0.550 0.619 0.100 O
0.942 0.940 0.388 O
0.358 0.857 0.216 O
0.742 0.742 0.984 O
0.344 0.344 0.188 O
0.142 0.143 0.784 O
0.150 0.213 0.300 O
0.858 0.857 0.216 O
0.242 0.742 0.984 O
0.758 0.258 0.016 O
0.843 0.344 0.188 O
0.250 0.190 0.500 O
0.058 0.060 0.612 O
0.349 0.412 0.698 O
0.555 0.060 0.612 O
0.258 0.258 0.016 O
0.445 0.940 0.388 O
0.950 0.019 0.900 O
0.541 0.540 0.585 O
0.651 0.588 0.302 O
0.450 0.381 0.900 O
0.656 0.656 0.812 O
0.157 0.656 0.812 O
0.050 0.981 0.100 O
0.750 0.810 0.500 O
0.642 0.143 0.784 O
0.044 0.540 0.585 O
0.850 0.787 0.700 O
0.459 0.460 0.415 O
0.950 0.457 0.901 Ba
0.250 0.748 0.500 Ba
0.450 0.943 0.901 Ba
0.149 0.652 0.297 Ba
0.550 0.057 0.099 Ba
0.351 0.856 0.703 Ba
0.649 0.144 0.297 Ba
0.750 0.252 0.500 Ba
0.851 0.348 0.703 Ba
0.050 0.543 0.099 Ba
0.100 0.098 0.199 Pb
0.200 0.200 0.399 Pb
0.599 0.601 0.199 Pb
0.401 0.399 0.801 Pb
0.800 0.800 0.601 Pb
0.900 0.902 0.801 Pb
0.500 0.500 0.000 Pb
0.000 0.000 0.000 Pb
0.300 0.301 0.600 Bi
0.700 0.699 0.400 Bi
```

Properties
Magnetic moment   0.0 μB per cell
Uncorrected energy   -0.452 Ry/atom
Uncorrected formation energy   -1760 meV/atom

***

LiCu2Ni after structural relaxation. Source: the Alexandria database, functional PBEsol.

```
LiCu2Ni
1.0
-1.583 3.479 -1.024
-3.835 0.227 -0.945
-2.534 1.815 2.437
Li Cu Ni
1 2 1
direct
0.500 0.500 0.500 Li
0.000 0.000 0.000 Cu
0.250 0.250 0.250 Cu
0.750 0.750 0.750 Ni
```

Properties
Magnetic moment   0.0 μB per cell
E above lowest polymorph   0.24 eV/f.u.
Uncorrected energy   -0.306 Ry/atom
Formation energy from the elements   0.2 eV/f.u.

***

YMnOs after structural relaxation. Source: the Alexandria database, functional PBEsol.

```
YMnOs
1.0
-2.855 -0.032 0.675
1.718 -2.245 0.783
1.360 3.097 5.894
Os Mn Y
1 1 1
direct
0.667 0.333 0.699 Os
0.000 0.000 0.969 Mn
0.333 0.667 0.332 Y
```

Properties
Magnetic moment   2.3 μB per cell
E above lowest polymorph   0.10 eV/f.u.
Uncorrected energy   -0.660 Ry/atom
Formation energy from the elements   1.8 eV/f.u.

***

YAl3Se after structural relaxation. Source: the Alexandria database, functional PBEsol.

```
YAl3Se
1.0
5.506 0.000 0.000
0.000 5.506 0.000
0.000 0.000 5.506
Al Se Y
3 1 1
direct
0.000 0.500 0.000 Al
0.500 0.000 0.000 Al
0.000 0.000 0.500 Al
0.500 0.500 0.500 Se
0.000 0.000 0.000 Y
```

Properties
Magnetic moment   0.0 μB per cell
E above lowest polymorph   4.68 eV/f.u.
Uncorrected energy   -0.246 Ry/atom
Uncorrected formation energy   1241 meV/atom

***

TlCr2GeH after structural relaxation. Source: the Alexandria database, functional PBEsol.

```
TlCr2GeH
1.0
5.046 0.000 0.000
0.000 5.290 0.000
0.000 0.000 5.290
Cr H Tl Ge
2 1 1 1
direct
0.000 0.000 0.500 Cr
0.000 0.500 0.000 Cr
0.500 0.500 0.500 H
0.000 0.000 0.000 Tl
0.500 0.000 0.000 Ge
```

Properties
Magnetic moment   8.9 μB per cell
Uncorrected energy   -0.321 Ry/atom

***

CaLaMn2Tl after structural relaxation. Source: the Alexandria database, functional PBEsol.

```
CaLaMn2Tl
1.0
4.950 0.000 0.000
0.000 4.950 0.000
0.000 0.000 5.510
Ca La Tl Mn
1 1 1 2
direct
0.000 0.000 0.000 Ca
0.500 0.500 0.500 La
0.000 0.000 0.500 Tl
0.000 0.500 0.000 Mn
0.500 0.000 0.000 Mn
```

Properties
Magnetic moment   7.6 μB per cell
Uncorrected energy   -0.359 Ry/atom
Formation energy from the elements   5.2 eV/f.u.

***

Ba3HgS after structural relaxation. Source: the Alexandria database, functional PBEsol.

```
Ba3HgS
1.0
5.993 0.000 0.000
0.000 5.993 0.000
0.000 0.000 5.993
Ba S Hg
3 1 1
direct
0.000 0.500 0.000 Ba
0.500 0.000 0.000 Ba
0.000 0.000 0.500 Ba
0.000 0.000 0.000 S
0.500 0.500 0.500 Hg
```

Properties
Magnetic moment   0.0 μB per cell
Uncorrected energy   -0.227 Ry/atom
Uncorrected formation energy   -814 meV/atom

***

Zn2HgW after structural relaxation. Source: the Alexandria database, functional PBEsol.

```
Zn2HgW
1.0
2.764 0.000 0.000
0.000 2.764 0.000
0.000 0.000 8.352
W Hg Zn
1 1 2
direct
0.500 0.500 0.770 W
0.000 0.000 0.497 Hg
0.000 0.000 0.005 Zn
0.500 0.500 0.228 Zn
```

Properties
Magnetic moment   0.0 μB per cell
Uncorrected energy   -0.294 Ry/atom
Formation energy from the elements   1.5 eV/f.u.

***

BaTl2Si after structural relaxation. Source: the Alexandria database, functional PBEsol.

```
BaTl2Si
1.0
5.143 0.000 0.000
-2.572 5.031 0.032
0.000 2.601 4.437
Si Tl Ba
1 2 1
direct
0.750 0.500 0.750 Si
0.000 0.000 0.000 Tl
0.250 0.500 0.250 Tl
0.500 0.000 0.500 Ba
```

Properties
Magnetic moment   0.0 μB per cell
E above lowest polymorph   0.48 eV/f.u.
Uncorrected energy   -0.243 Ry/atom
Uncorrected formation energy   -23 meV/atom

***

K2AlW after structural relaxation. Source: the Alexandria database, functional PBEsol.

```
K2AlW
1.0
-2.272 1.698 2.720
-3.051 -2.172 -1.192
1.480 -4.194 3.854
K Al W
2 1 1
direct
0.000 0.500 0.000 K
0.500 0.000 0.000 K
0.000 0.000 0.500 Al
0.500 0.500 0.500 W
```

Properties
Magnetic moment   0.0 μB per cell
Uncorrected energy   -0.273 Ry/atom
Formation energy from the elements   5.3 eV/f.u.

***

ErSiPd after structural relaxation. Source: the Alexandria database, functional PBEsol.

```
ErSiPd
1.0
-3.395 -0.167 2.576
-4.290 -1.508 -5.751
2.113 -13.335 1.921
Er Si Pd
8 8 8
direct
0.500 0.708 0.000 Er
0.000 0.292 0.500 Er
0.500 0.793 0.748 Er
0.500 0.793 0.252 Er
0.000 0.300 0.000 Er
0.500 0.700 0.500 Er
0.000 0.207 0.752 Er
0.000 0.207 0.248 Er
0.000 0.592 0.854 Si
0.500 0.408 0.646 Si
0.000 0.908 0.406 Si
0.000 0.908 0.594 Si
0.000 0.592 0.146 Si
0.500 0.092 0.906 Si
0.500 0.092 0.094 Si
0.500 0.408 0.354 Si
0.000 0.923 0.892 Pd
0.500 0.077 0.608 Pd
0.000 0.923 0.108 Pd
0.500 0.418 0.843 Pd
0.500 0.077 0.392 Pd
0.500 0.418 0.157 Pd
0.000 0.582 0.657 Pd
0.000 0.582 0.343 Pd
```

Properties
Magnetic moment   0.0 μB per cell
Uncorrected energy   -0.486 Ry/atom
Uncorrected formation energy   -1069 meV/atom

***

CuP2Ru after structural relaxation. Source: the Alexandria database, functional PBEsol.

```
CuP2Ru
1.0
3.548 0.000 0.000
0.000 3.548 0.000
-1.774 -1.774 3.996
Cu P Ru
1 2 1
direct
0.250 0.750 0.500 Cu
0.750 0.250 0.500 P
0.000 0.000 0.000 P
0.500 0.500 0.000 Ru
```

Properties
Magnetic moment   0.0 μB per cell
E above lowest polymorph   0.89 eV/f.u.
Uncorrected energy   -0.470 Ry/atom
Formation energy from the elements   0.5 eV/f.u.

***

Cu3Pt after structural relaxation. Source: the Alexandria database, functional PBEsol.

```
Cu3Pt
1.0
-0.455 0.344 3.545
-2.204 -4.722 0.175
5.821 0.189 0.729
Cu Pt
6 2
direct
0.500 0.123 0.245 Cu
0.000 0.500 0.500 Cu
0.000 0.758 0.000 Cu
0.000 0.242 0.000 Cu
0.500 0.877 0.755 Cu
0.000 0.000 0.500 Cu
0.500 0.372 0.744 Pt
0.500 0.628 0.256 Pt
```

Properties
Magnetic moment   0.0 μB per cell
Uncorrected energy   -0.375 Ry/atom
Formation energy from the elements   -0.4 eV/f.u.